Ni2RhBr | PBE | optimized geometry

* density of states at the Fermi level: 1.6708 states/eV/atom
* ΔE_f (raw): 0.484 eV/atom
* symmetry: R-3m
* relative energy among the computed polymorphs: 53 kJ/mol of formula units

a = 7.877 Å, b = 7.877 Å, c = 7.877 Å
α = 21.73°, β = 21.73°, γ = 21.73°
Last column: magnetic moment on the atom in μB.
Atoms (fractional coordinates):
Br 0.750 0.750 0.750  0.01
Ni 0.500 0.500 0.500  0.48
Ni 0.000 0.000 0.000  0.48
Rh 0.250 0.250 0.250  0.68

---

Ni2RhBr | PBE | optimized geometry

* density of states at the Fermi level: 1.6674 states/eV/atom
* ΔE_f (raw): 0.499 eV/atom
* symmetry: Pm
* relative energy among the computed polymorphs: 59 kJ/mol of formula units

a = 4.192 Å, b = 3.080 Å, c = 4.489 Å
α = 90.48°, β = 90.00°, γ = 90.00°
Last column: magnetic moment on the atom in μB.
Atoms (fractional coordinates):
Ni 0.000 0.066 0.966  0.08
Ni 0.500 0.063 0.305  0.07
Br 0.500 0.820 0.795  0.01
Rh 0.000 0.550 0.434  0.09

---

NiRhBr2 | PBE | optimized geometry

* density of states at the Fermi level: 1.8529 states/eV/atom
* ΔE_f (raw): 0.511 eV/atom
* symmetry: Pmmm
* relative energy among the computed polymorphs: 209 kJ/mol of formula units

a = 3.481 Å, b = 6.470 Å, c = 3.666 Å
α = 90.00°, β = 90.00°, γ = 90.00°
Last column: magnetic moment on the atom in μB.
Atoms (fractional coordinates):
Br 0.000 0.000 0.000  0.05
Br 0.500 0.500 0.000  0.04
Ni 0.500 0.000 0.500  0.61
Rh 0.000 0.500 0.500  0.41

---

NiRhBr2 | PBE | optimized geometry

* density of states at the Fermi level: 0.7578 states/eV/atom
* ΔE_f (raw): 0.340 eV/atom
* symmetry: C2/m
* relative energy among the computed polymorphs: 143 kJ/mol of formula units

a = 4.027 Å, b = 4.027 Å, c = 6.706 Å
α = 72.32°, β = 72.32°, γ = 48.63°
Atoms (fractional coordinates):
Br 0.932 0.932 0.006
Br 0.568 0.568 0.494
Ni 0.250 0.250 0.250
Rh 0.750 0.750 0.750

---

NiRhBr2 | PBE | optimized geometry

* density of states at the Fermi level: 0.8124 states/eV/atom
* ΔE_f (raw): -0.030 eV/atom
* symmetry: R3m
* relative energy among the computed polymorphs: 0 kJ/mol of formula units

a = 7.761 Å, b = 7.761 Å, c = 7.761 Å
α = 27.86°, β = 27.86°, γ = 27.86°
Atoms (fractional coordinates):
Ni 0.488 0.488 0.488
Br 0.207 0.207 0.207
Br 0.040 0.040 0.040
Rh 0.765 0.765 0.765

---

NiRhBr3 | PBE | optimized geometry

* density of states at the Fermi level: 3.7723 states/eV/atom
* ΔE_f (raw): 0.531 eV/atom
* symmetry: Pm-3m
* relative energy among the computed polymorphs: 0 kJ/mol of formula units

a = 5.051 Å, b = 5.051 Å, c = 5.051 Å
α = 90.00°, β = 90.00°, γ = 90.00°
Last column: magnetic moment on the atom in μB.
Atoms (fractional coordinates):
Ni 0.500 0.500 0.500  1.02
Br 0.000 0.500 0.000  0.04
Br 0.000 0.000 0.500  0.02
Br 0.500 0.000 0.000  0.03
Rh 0.000 0.000 0.000  0.14